(1)
{"formula": "P2HCl", "functional": "PBE", "state": "optimized geometry", "magnetic_moment_mub_per_fu": 0.0, "total_energy_ev_per_cell": -26.084, "cell": [[-2.1949, 2.1949, 7.1037], [2.1949, -2.1949, 7.1037], [2.1949, 2.1949, -7.1037]], "species": ["P", "P", "P", "P", "H", "H", "Cl", "Cl"], "frac_coords": [[0.0000, 0.0000, 0.0000], [0.0000, 0.0000, 0.5000], [0.0000, 0.5000, 0.0000], [0.5000, 0.0000, 0.5000], [0.1250, 0.8750, 0.2500], [0.8750, 0.1250, 0.7500], [0.3750, 0.6250, 0.7500], [0.6250, 0.3750, 0.2500]]}

=====

(2)
{"formula": "PH3Cl2", "functional": "PBE", "state": "optimized geometry", "magnetic_moment_mub_per_fu": 0.0, "total_energy_ev_per_cell": -42.519, "cell": [[4.0315, -3.7425, 0.0000], [4.0315, 3.7425, 0.0000], [-3.7764, 0.0000, 6.6300]], "species": ["P", "P", "H", "H", "H", "H", "H", "H", "Cl", "Cl", "Cl", "Cl"], "frac_coords": [[0.1146, 0.8854, 0.7500], [0.8854, 0.1146, 0.2500], [0.0729, 0.9271, 0.2500], [0.1231, 0.7035, 0.5672], [0.2965, 0.8769, 0.9328], [0.7035, 0.1231, 0.0672], [0.8769, 0.2965, 0.4328], [0.9271, 0.0729, 0.7500], [0.1584, 0.3842, 0.2419], [0.3842, 0.1584, 0.7419], [0.6158, 0.8416, 0.2581], [0.8416, 0.6158, 0.7581]]}

=====

(3)
{"formula": "PH3Cl", "functional": "PBE", "state": "optimized geometry", "magnetic_moment_mub_per_fu": 0.0, "total_energy_ev_per_cell": -10.533, "cell": [[3.6231, 0.0000, 0.0000], [0.0000, 3.6231, 0.0000], [0.0000, 0.0000, 3.6231]], "species": ["P", "H", "H", "H", "Cl"], "frac_coords": [[0.0000, 0.0000, 0.0000], [0.0000, 0.5000, 0.5000], [0.5000, 0.0000, 0.5000], [0.5000, 0.5000, 0.0000], [0.5000, 0.5000, 0.5000]]}

=====

(4)
{"formula": "PHCl3", "functional": "PBE", "state": "optimized geometry", "magnetic_moment_mub_per_fu": 0.0, "total_energy_ev_per_cell": -10.390, "cell": [[4.3126, 0.0000, 0.0000], [0.0000, 4.3126, 0.0000], [0.0000, 0.0000, 4.3126]], "species": ["P", "H", "Cl", "Cl", "Cl"], "frac_coords": [[0.0000, 0.0000, 0.0000], [0.5000, 0.5000, 0.5000], [0.0000, 0.5000, 0.5000], [0.5000, 0.0000, 0.5000], [0.5000, 0.5000, 0.0000]]}

=====

(5)
{"formula": "P2HPbCl", "functional": "PBE", "state": "optimized geometry", "magnetic_moment_mub_per_fu": 0.0, "total_energy_ev_per_cell": -16.631, "cell": [[3.9827, 0.0000, 0.0000], [0.0000, 3.9827, 0.0000], [0.0000, 0.0000, 8.7825]], "species": ["P", "P", "H", "Pb", "Cl"], "frac_coords": [[0.0000, 0.5000, 0.0000], [0.5000, 0.0000, 0.0000], [0.0000, 0.0000, 0.0000], [0.5000, 0.5000, 0.5000], [0.0000, 0.0000, 0.5000]]}

=====

(6)
{"formula": "P2HPbCl", "functional": "PBE", "state": "optimized geometry", "magnetic_moment_mub_per_fu": 3.9, "total_energy_ev_per_cell": -13.728, "cell": [[5.4635, 0.0000, 0.0000], [0.0000, 5.4635, 0.0000], [0.0000, 0.0000, 5.6023]], "species": ["P", "P", "H", "Pb", "Cl"], "frac_coords": [[0.0000, 0.5000, 0.0000], [0.5000, 0.0000, 0.0000], [0.0000, 0.0000, 0.5000], [0.5000, 0.5000, 0.0000], [0.5000, 0.5000, 0.5000]]}

=====

(7)
{"formula": "PHPbCl2", "functional": "PBE", "state": "optimized geometry", "magnetic_moment_mub_per_fu": 1.8, "total_energy_ev_per_cell": -15.334, "cell": [[5.8093, 0.0000, 0.0000], [0.0000, 5.8093, 0.0000], [0.0000, 0.0000, 3.4736]], "species": ["P", "H", "Pb", "Cl", "Cl"], "frac_coords": [[0.0000, 0.0000, 0.0000], [0.0000, 0.0000, 0.5000], [0.5000, 0.5000, 0.0000], [0.0000, 0.5000, 0.5000], [0.5000, 0.0000, 0.5000]]}

=====

(8)
{"formula": "PHPbCl2", "functional": "PBE", "state": "optimized geometry", "magnetic_moment_mub_per_fu": 3.0, "total_energy_ev_per_cell": -13.758, "cell": [[5.5446, 0.0000, 0.0000], [0.0000, 5.5446, 0.0000], [0.0000, 0.0000, 5.5471]], "species": ["P", "H", "Pb", "Cl", "Cl"], "frac_coords": [[0.0000, 0.0000, 0.0000], [0.5000, 0.5000, 0.0000], [0.0000, 0.0000, 0.5000], [0.0000, 0.5000, 0.5000], [0.5000, 0.0000, 0.5000]]}